No. 1
VASP calculation (PBE) on LiRhW3 after structural relaxation.

a b c (Å): 4.743 4.743 4.743
angles (deg): 90.00 90.00 90.00
Sites, in units of the cell vectors:
Li  0.500  0.500  0.500
Rh  0.000  0.000  0.000
W  0.500  0.000  0.000
W  0.000  0.500  0.000
W  0.000  0.000  0.500

Calculated values
Its total magnetic moment is 0.000 μB per cell. Its energy relative to the lowest polymorph listed for this composition is 0.676 eV/atom. The total DFT energy (no corrections) is -38.21 eV per cell. Its space-group type is Pm-3m (221). The density of states at the Fermi level comes out at 5.64 states/eV/cell.

No. 2
VASP calculation (PBE) on BeFeHg after structural relaxation.

a b c (Å): 5.460 5.460 2.861
angles (deg): 74.82 74.81 30.38
Sites, in units of the cell vectors:
Hg  0.658  0.658  0.342
Fe  0.359  0.359  0.641
Be  0.982  0.982  0.018

Calculated values
Its total magnetic moment is 2.471 μB per cell. Its energy relative to the lowest polymorph listed for this composition is 0.000 eV/atom. The total DFT energy (no corrections) is -11.39 eV per cell. Its space-group type is I4mm (107). The density of states at the Fermi level comes out at 2.15 states/eV/cell.

No. 3
VASP calculation (PBE) on Dy2CuAg3 after structural relaxation.

a b c (Å): 3.464 4.645 8.016
angles (deg): 90.00 90.00 90.00
Sites, in units of the cell vectors:
Cu  0.500  0.500  0.329
Dy  0.000  0.500  0.014
Ag  0.500  0.000  0.835
Ag  0.500  0.000  0.177
Ag  0.500  0.500  0.655
Dy  0.000  0.000  0.491

Calculated values
Its total magnetic moment is 0.000 μB per cell. Its energy relative to the lowest polymorph listed for this composition is 0.026 eV/atom. The total DFT energy (no corrections) is -23.27 eV per cell. Its space-group type is Pmm2 (25). The density of states at the Fermi level comes out at 3.98 states/eV/cell.